1.
Compound: RbCd3Hg4
Source: Alexandria via LeMat-Bulk
Functional: PBE
Structure: optimized geometry

Calculated values
* excess energy over the best structure of this formula in the dataset: 0 meV/atom
* ΔH_f (0 K): -72.8 meV/atom

a = 5.400 Å, b = 5.400 Å, c = 8.447 Å
α = 90.00°, β = 90.00°, γ = 90.00°
Positions (direct):
Hg: 0.000 0.500 0.184
Hg: 0.000 0.500 0.816
Hg: 0.500 0.000 0.816
Hg: 0.500 0.000 0.184
Rb: 0.000 0.000 0.500
Cd: 0.000 0.000 0.000
Cd: 0.500 0.500 0.327
Cd: 0.500 0.500 0.673

=====

2.
Compound: CoPdRhS4
Source: Alexandria via LeMat-Bulk
Functional: PBE
Structure: optimized geometry

Calculated values
* formation energy (no corrections): -0.398 eV per atom

a = 6.811 Å, b = 6.923 Å, c = 6.923 Å
α = 60.91°, β = 60.53°, γ = 60.53°
Positions (direct):
Co: 0.500 0.000 0.500
Co: 0.000 0.000 0.500
Pd: 0.629 0.621 0.121
Pd: 0.371 0.379 0.879
Rh: 0.000 0.000 0.000
Rh: 0.000 0.500 0.500
S: 0.758 0.776 0.707
S: 0.242 0.793 0.724
S: 0.758 0.207 0.276
S: 0.242 0.224 0.293
S: 0.210 0.770 0.270
S: 0.750 0.770 0.270
S: 0.250 0.230 0.730
S: 0.790 0.230 0.730

=====

3.
Compound: Ag2PCl
Source: Alexandria via LeMat-Bulk
Functional: PBE
Structure: optimized geometry

Calculated values
* excess energy over the best structure of this formula in the dataset: 1 meV/atom
* formation energy (no corrections): 0.024 eV per atom

a = 7.338 Å, b = 7.338 Å, c = 3.639 Å
α = 89.70°, β = 89.70°, γ = 25.07°
Positions (direct):
Ag: 0.938 0.938 0.115
Ag: 0.725 0.725 0.632
Cl: 0.541 0.541 0.623
P: 0.296 0.296 0.130

=====

4.
Compound: ZrCo2Au
Source: Alexandria via LeMat-Bulk
Functional: PBE
Structure: optimized geometry

Calculated values
* excess energy over the best structure of this formula in the dataset: 91 meV/atom
* ΔH_f (0 K): -140.6 meV/atom

a = 4.614 Å, b = 4.614 Å, c = 4.067 Å
α = 63.85°, β = 63.85°, γ = 52.30°
Positions (direct):
Au: 0.250 0.250 0.250
Co: 0.000 0.000 0.000
Co: 0.500 0.500 0.500
Zr: 0.750 0.750 0.750

=====

5.
Compound: LiAgC2O4
Source: Alexandria via LeMat-Bulk
Functional: PBE
Structure: optimized geometry

Calculated values
* excess energy over the best structure of this formula in the dataset: 0 meV/atom
* formation energy (no corrections): -1.153 eV per atom

a = 3.938 Å, b = 5.661 Å, c = 10.193 Å
α = 93.82°, β = 94.47°, γ = 79.31°
Positions (direct):
Li: 0.970 0.425 0.140
Li: 0.030 0.575 0.860
Ag: 0.692 0.952 0.338
Ag: 0.308 0.048 0.662
C: 0.917 0.950 0.057
C: 0.083 0.050 0.943
C: 0.074 0.426 0.437
C: 0.926 0.574 0.563
O: 0.170 0.899 0.848
O: 0.830 0.101 0.152
O: 0.116 0.268 0.955
O: 0.884 0.732 0.045
O: 0.984 0.476 0.672
O: 0.016 0.524 0.328
O: 0.759 0.786 0.546
O: 0.241 0.214 0.454

=====

6.
Compound: AlAgOs
Source: Alexandria via LeMat-Bulk
Functional: PBE
Structure: optimized geometry

Calculated values
* excess energy over the best structure of this formula in the dataset: 88 meV/atom
* ΔH_f (0 K): 234.7 meV/atom

a = 5.170 Å, b = 5.170 Å, c = 5.170 Å
α = 149.62°, β = 136.89°, γ = 53.65°
Positions (direct):
Os: 0.689 0.689 0.000
Al: 0.313 0.313 0.000
Ag: 0.998 0.998 0.000

=====

7.
Compound: TlSbF4
Source: Alexandria via LeMat-Bulk
Functional: PBE
Structure: optimized geometry

Calculated values
* excess energy over the best structure of this formula in the dataset: 0 meV/atom
* formation energy (no corrections): -2.222 eV per atom

a = 6.986 Å, b = 7.715 Å, c = 8.600 Å
α = 82.31°, β = 90.00°, γ = 90.00°
Positions (direct):
Tl: 0.253 0.877 0.939
Tl: 0.753 0.123 0.561
Tl: 0.747 0.123 0.061
Tl: 0.247 0.877 0.439
Sb: 0.790 0.627 0.790
Sb: 0.290 0.373 0.710
Sb: 0.210 0.373 0.210
Sb: 0.710 0.627 0.290
F: 0.645 0.416 0.678
F: 0.145 0.584 0.822
F: 0.355 0.584 0.322
F: 0.855 0.416 0.178
F: 0.883 0.877 0.814
F: 0.383 0.123 0.686
F: 0.117 0.123 0.186
F: 0.617 0.877 0.314
F: 0.952 0.753 0.217
F: 0.452 0.247 0.283
F: 0.048 0.247 0.783
F: 0.548 0.753 0.717
F: 0.610 0.687 0.072
F: 0.110 0.313 0.428
F: 0.390 0.313 0.928
F: 0.890 0.687 0.572

=====

8.
Compound: MnV6Co8
Source: Alexandria via LeMat-Bulk
Functional: PBE
Structure: optimized geometry

Calculated values
* ΔH_f (0 K): 5.5 meV/atom

a = 6.382 Å, b = 6.382 Å, c = 6.231 Å
α = 59.20°, β = 59.20°, γ = 60.00°
Positions (direct):
Mn: 0.000 0.000 0.000
V: 0.460 0.949 0.858
V: 0.051 0.267 0.142
V: 0.267 0.540 0.142
V: 0.733 0.460 0.858
V: 0.949 0.733 0.858
V: 0.540 0.051 0.142
Co: 0.650 0.138 0.384
Co: 0.862 0.172 0.616
Co: 0.172 0.350 0.616
Co: 0.580 0.580 0.259
Co: 0.420 0.420 0.741
Co: 0.828 0.650 0.384
Co: 0.138 0.828 0.384
Co: 0.350 0.862 0.616

=====

9.
Compound: TbPd
Source: Alexandria via LeMat-Bulk
Functional: PBE
Structure: optimized geometry

Calculated values
* ΔH_f (0 K): -911.3 meV/atom

a = 5.608 Å, b = 5.608 Å, c = 4.608 Å
α = 90.00°, β = 90.00°, γ = 141.27°
Positions (direct):
Tb: 0.863 0.137 0.750
Tb: 0.137 0.863 0.250
Pd: 0.587 0.413 0.750
Pd: 0.413 0.587 0.250

=====

10.
Compound: ScTa2Cl
Source: Alexandria via LeMat-Bulk
Functional: PBE
Structure: optimized geometry

Calculated values
* excess energy over the best structure of this formula in the dataset: 521 meV/atom
* formation energy (no corrections): 0.325 eV per atom

a = 2.939 Å, b = 2.939 Å, c = 8.545 Å
α = 90.00°, β = 90.00°, γ = 90.00°
Positions (direct):
Cl: 0.500 0.500 0.250
Sc: 0.500 0.500 0.750
Ta: 0.000 0.000 0.029
Ta: 0.000 0.000 0.471

=====

11.
Compound: TlPd2N
Source: Alexandria via LeMat-Bulk
Functional: PBE
Structure: optimized geometry

Calculated values
* excess energy over the best structure of this formula in the dataset: 650 meV/atom
* formation energy (no corrections): 1.009 eV per atom

a = 4.481 Å, b = 4.481 Å, c = 4.481 Å
α = 60.00°, β = 60.00°, γ = 60.00°
Positions (direct):
Tl: 0.500 0.500 0.500
Pd: 0.250 0.250 0.250
Pd: 0.750 0.750 0.750
N: 0.000 0.000 0.000

=====

12.
Compound: Fe3CoAs
Source: Alexandria via LeMat-Bulk
Functional: PBE
Structure: optimized geometry

Calculated values
* excess energy over the best structure of this formula in the dataset: 0 meV/atom
* ΔH_f (0 K): 888.1 meV/atom

a = 4.336 Å, b = 4.336 Å, c = 4.336 Å
α = 90.00°, β = 90.00°, γ = 90.00°
Positions (direct):
As: 0.500 0.500 0.500
Co: 0.000 0.000 0.000
Fe: 0.000 0.500 0.000
Fe: 0.000 0.000 0.500
Fe: 0.500 0.000 0.000

=====

13.
Compound: TaNi2Ru
Source: Alexandria via LeMat-Bulk
Functional: PBE
Structure: optimized geometry

Calculated values
* excess energy over the best structure of this formula in the dataset: 238 meV/atom
* ΔH_f (0 K): -86.1 meV/atom

a = 3.210 Å, b = 3.210 Å, c = 5.238 Å
α = 90.00°, β = 90.00°, γ = 90.00°
Positions (direct):
Ni: 0.000 0.000 0.001
Ni: 0.000 0.000 0.499
Ru: 0.500 0.500 0.250
Ta: 0.500 0.500 0.750

=====

14.
Compound: Pr4InPd
Source: Alexandria via LeMat-Bulk
Functional: PBE
Structure: optimized geometry

Calculated values
* excess energy over the best structure of this formula in the dataset: 0 meV/atom
* ΔH_f (0 K): -439.1 meV/atom

a = 10.123 Å, b = 10.123 Å, c = 10.123 Å
α = 60.00°, β = 60.00°, γ = 60.00°
Positions (direct):
Pr: 0.399 0.399 0.399
Pr: 0.804 0.399 0.399
Pr: 0.399 0.804 0.399
Pr: 0.399 0.399 0.804
Pr: 0.554 0.554 0.946
Pr: 0.946 0.946 0.554
Pr: 0.554 0.946 0.554
Pr: 0.946 0.554 0.946
Pr: 0.946 0.554 0.554
Pr: 0.554 0.946 0.946
Pr: 0.186 0.186 0.814
Pr: 0.814 0.814 0.186
Pr: 0.186 0.814 0.186
Pr: 0.814 0.186 0.814
Pr: 0.814 0.186 0.186
Pr: 0.186 0.814 0.814
In: 0.170 0.170 0.170
In: 0.491 0.170 0.170
In: 0.170 0.491 0.170
In: 0.170 0.170 0.491
Pd: 0.607 0.607 0.607
Pd: 0.180 0.607 0.607
Pd: 0.607 0.180 0.607
Pd: 0.607 0.607 0.180

=====

15.
Compound: YbZrF7
Source: Alexandria via LeMat-Bulk
Functional: PBE
Structure: optimized geometry

Calculated values
* formation energy (no corrections): -3.586 eV per atom

a = 5.884 Å, b = 6.077 Å, c = 8.346 Å
α = 77.27°, β = 90.00°, γ = 90.00°
Positions (direct):
Yb: 0.702 0.654 0.310
Yb: 0.202 0.346 0.690
Zr: 0.703 0.818 0.775
Zr: 0.203 0.182 0.225
F: 0.945 0.493 0.503
F: 0.445 0.507 0.497
F: 0.440 0.930 0.242
F: 0.940 0.070 0.758
F: 0.968 0.929 0.243
F: 0.468 0.071 0.757
F: 0.951 0.417 0.209
F: 0.451 0.583 0.791
F: 0.703 0.768 0.024
F: 0.203 0.232 0.976
F: 0.704 0.861 0.526
F: 0.204 0.139 0.474
F: 0.461 0.411 0.210
F: 0.961 0.589 0.790

=====

16.
Compound: Y2GeIr
Source: Alexandria via LeMat-Bulk
Functional: PBE
Structure: optimized geometry

Calculated values
* ΔH_f (0 K): -724.8 meV/atom

a = 3.544 Å, b = 3.544 Å, c = 6.933 Å
α = 90.00°, β = 90.00°, γ = 90.00°
Positions (direct):
Y: 0.000 0.000 0.764
Y: 0.000 0.000 0.236
Ge: 0.500 0.500 0.500
Ir: 0.500 0.500 0.000

=====

17.
Compound: TlCr2Hg
Source: Alexandria via LeMat-Bulk
Functional: PBE
Structure: optimized geometry

Calculated values
* ΔH_f (0 K): 584.1 meV/atom

a = 3.328 Å, b = 3.330 Å, c = 7.051 Å
α = 90.00°, β = 90.00°, γ = 90.00°
Positions (direct):
Cr: 0.000 0.000 0.009
Cr: 0.000 0.000 0.491
Hg: 0.500 0.500 0.250
Tl: 0.500 0.500 0.750

=====

18.
Compound: ZrZnTe2I
Source: Alexandria via LeMat-Bulk
Functional: PBE
Structure: optimized geometry

Calculated values
* excess energy over the best structure of this formula in the dataset: 0 meV/atom
* formation energy (no corrections): -0.159 eV per atom

a = 5.610 Å, b = 5.881 Å, c = 5.610 Å
α = 90.00°, β = 90.00°, γ = 90.00°
Positions (direct):
I: 0.000 0.500 0.000
Zn: 0.500 0.500 0.500
Te: 0.000 0.000 0.500
Te: 0.500 0.000 0.000
Zr: 0.000 0.000 0.000

=====

19.
Compound: Ca2Sn2Os
Source: Alexandria via LeMat-Bulk
Functional: PBE
Structure: optimized geometry

Calculated values
* excess energy over the best structure of this formula in the dataset: 646 meV/atom
* ΔH_f (0 K): 471.7 meV/atom

a = 7.286 Å, b = 7.286 Å, c = 4.943 Å
α = 90.00°, β = 90.00°, γ = 90.00°
Positions (direct):
Ca: 0.344 0.844 0.000
Ca: 0.844 0.656 0.000
Ca: 0.656 0.156 0.000
Ca: 0.156 0.344 0.000
Os: 0.000 0.000 0.000
Os: 0.500 0.500 0.000
Sn: 0.160 0.660 0.500
Sn: 0.660 0.840 0.500
Sn: 0.840 0.340 0.500
Sn: 0.340 0.160 0.500

=====

20.
Compound: YFeCl2
Source: Alexandria via LeMat-Bulk
Functional: PBE
Structure: optimized geometry

Calculated values
* excess energy over the best structure of this formula in the dataset: 247 meV/atom
* formation energy (no corrections): -0.575 eV per atom

a = 7.058 Å, b = 7.058 Å, c = 7.058 Å
α = 152.39°, β = 141.01°, γ = 48.44°
Positions (direct):
Y: 0.240 0.740 0.500
Fe: 0.424 0.424 0.000
Cl: 0.070 0.070 0.000
Cl: 0.766 0.266 0.500

=====

21.
Compound: BeTl2W
Source: Alexandria via LeMat-Bulk
Functional: PBE
Structure: optimized geometry

Calculated values
* excess energy over the best structure of this formula in the dataset: 424 meV/atom
* ΔH_f (0 K): 1101.1 meV/atom

a = 3.593 Å, b = 3.593 Å, c = 5.802 Å
α = 90.00°, β = 90.00°, γ = 90.00°
Positions (direct):
Be: 0.500 0.500 0.750
Tl: 0.000 0.000 0.994
Tl: 0.000 0.000 0.506
W: 0.500 0.500 0.250